Compound: CaCuTc2
Source: the Alexandria database
Functional: PBE
Structure: relaxed

Results
The space group is No. 65. As for the theoretical density: 7.65 g/cm³. The calculation puts the excess energy over the best structure of this formula in the dataset at 377 meV per atom.

abc: 5.4277 5.4277 2.5568
angles: 90.00 90.00 120.29
Element x y z (fractional)
Ca 0.0000 0.0000 0.0000
Cu 0.5000 0.5000 0.0000
Tc 0.0000 0.5000 0.5000
Tc 0.5000 0.0000 0.5000

=====

Compound: ZrAl2Hg
Source: the Alexandria database
Functional: PBE
Structure: relaxed

Results
The space group is No. 160. As for the theoretical density: 7.18 g/cm³. As for the total DFT energy (no corrections): -4.129 eV per atom.

abc: 9.6583 9.6583 9.6583
angles: 18.58 18.58 18.58
Element x y z (fractional)
Zr 0.0000 0.0000 0.0000
Al 0.4950 0.4950 0.4950
Al 0.7498 0.7498 0.7498
Hg 0.2433 0.2433 0.2433